Below is a relaxed structure of Zr2NiSe, with properties calculated at the PBE-GGA level.

a b c (Å): 7.0588 7.0588 6.2615
angles (deg): 90.00 90.00 90.00
Space group I-42d (No. 122)
One atom of each set of equivalent atoms:
Zr 0.2352 0.7500 0.1250 [8 per cell]
Ni 0.0000 0.0000 0.0000 [4 per cell]
Se 0.0000 0.0000 0.5000 [4 per cell]

Values from the calculation:
- DOS at the Fermi energy: 22.5 states/eV/cell
- ΔE_f (raw): -0.403 eV/atom
- Energy: -111.895 eV for the cell shown